(1)
## Zr3FeBi (PBE)

Data for a relaxed Zr3FeBi crystal.

CIF file:
```
data_Zr3FeBi
_chemical_formula_sum 'Zr6 Fe2 Bi2'
_space_group_name_H-M_alt 'P 63/m m c'
_space_group_IT_number 194
_space_group_name_Hall '-P 6c 2c'
_cell_length_a 6.8597
_cell_length_b 6.8597
_cell_length_c 5.4738
_cell_angle_alpha 90.00
_cell_angle_beta 90.00
_cell_angle_gamma 120.00
loop_
_atom_site_label
_atom_site_fract_x
_atom_site_fract_y
_atom_site_fract_z
Zr1 0.1725 0.3449 0.2500
Fe1 0.0000 0.0000 0.0000
Bi1 0.3333 0.6667 0.7500
```

Formation energy, meV per atom: -156
E above lowest polymorph, meV per atom: 0

(2)
## Zr6FeBi2 (PBE)

Data for a relaxed Zr6FeBi2 crystal.

CIF file:
```
data_Zr6FeBi2
_chemical_formula_sum 'Zr6 Fe1 Bi2'
_space_group_name_H-M_alt 'P -6 2 m'
_space_group_IT_number 189
_space_group_name_Hall 'P -6 -2'
_cell_length_a 7.9646
_cell_length_b 7.9646
_cell_length_c 3.6625
_cell_angle_alpha 90.00
_cell_angle_beta 90.00
_cell_angle_gamma 120.00
loop_
_atom_site_label
_atom_site_fract_x
_atom_site_fract_y
_atom_site_fract_z
Zr1 0.0000 0.3895 0.0000
Zr2 0.0000 0.7644 0.5000
Fe1 0.0000 0.0000 0.0000
Bi1 0.3333 0.6667 0.5000
```

Formation energy, meV per atom: -313

(3)
## GaBi (PBE)

Data for a relaxed GaBi crystal.

CIF file:
```
data_GaBi
_chemical_formula_sum 'Ga8 Bi8'
_space_group_name_H-M_alt 'P 4/m'
_space_group_IT_number 83
_cell_length_a 9.969
_cell_length_b 9.969
_cell_length_c 4.581
_cell_angle_alpha 90.00
_cell_angle_beta 90.00
_cell_angle_gamma 90.00
loop_
_space_group_symop_operation_xyz
'x,y,z'
'-x,-y,-z'
'-y,x,z'
'y,-x,-z'
'-x,-y,z'
'x,y,-z'
'y,-x,z'
'-y,x,-z'
loop_
_atom_site_label
_atom_site_fract_x
_atom_site_fract_y
_atom_site_fract_z
Ga1 0.025 0.686 0.000
Ga2 0.126 0.538 0.500
Bi1 0.154 0.172 0.500
Bi2 0.276 0.440 0.000
```

Formation energy, meV per atom: 113

(4)
## GaBi5 (PBE)

Data for a relaxed GaBi5 crystal.

CIF file:
```
data_GaBi5
_chemical_formula_sum 'Ga2 Bi10'
_space_group_name_H-M_alt 'C m m m'
_space_group_IT_number 65
_space_group_name_Hall '-C 2 2'
_cell_length_a 4.129
_cell_length_b 17.435
_cell_length_c 5.138
_cell_angle_alpha 90.00
_cell_angle_beta 90.00
_cell_angle_gamma 90.00
loop_
_atom_site_label
_atom_site_fract_x
_atom_site_fract_y
_atom_site_fract_z
Ga1 0.000 0.000 0.000
Bi1 0.000 0.178 0.500
Bi2 0.000 0.366 0.000
Bi3 0.000 0.500 0.500
```

Formation energy, meV per atom: 115

(5)
## Ga5Bi (PBE)

Data for a relaxed Ga5Bi crystal.

CIF file:
```
data_Ga5Bi
_chemical_formula_sum 'Ga10 Bi2'
_space_group_name_H-M_alt 'C m m m'
_space_group_IT_number 65
_space_group_name_Hall '-C 2 2'
_cell_length_a 4.647
_cell_length_b 12.021
_cell_length_c 4.675
_cell_angle_alpha 90.00
_cell_angle_beta 90.00
_cell_angle_gamma 90.00
loop_
_atom_site_label
_atom_site_fract_x
_atom_site_fract_y
_atom_site_fract_z
Ga1 0.000 0.000 0.000
Ga2 0.000 0.175 0.500
Ga3 0.000 0.320 0.000
Bi1 0.000 0.500 0.500
```

Formation energy, meV per atom: 56

(6)
## Ga2Bi (PBE)

Data for a relaxed Ga2Bi crystal.

CIF file:
```
data_Ga2Bi
_chemical_formula_sum 'Ga4 Bi2'
_space_group_name_H-M_alt 'C 1 2/m 1'
_space_group_IT_number 12
_cell_length_a 5.606
_cell_length_b 5.595
_cell_length_c 5.198
_cell_angle_alpha 90.00
_cell_angle_beta 116.76
_cell_angle_gamma 90.00
loop_
_space_group_symop_operation_xyz
'x,y,z'
'-x,-y,-z'
'-x,y,-z'
'x,-y,z'
'x+1/2,y+1/2,z'
'-x+1/2,-y+1/2,-z'
'-x+1/2,y+1/2,-z'
'x+1/2,-y+1/2,z'
loop_
_atom_site_label
_atom_site_fract_x
_atom_site_fract_y
_atom_site_fract_z
Ga1 0.149 0.000 0.332
Bi1 0.000 0.500 0.000
```

Formation energy, meV per atom: 99

(7)
## Ga2Bi (PBE)

Data for a relaxed Ga2Bi crystal.

CIF file:
```
data_Ga2Bi
_chemical_formula_sum 'Ga8 Bi4'
_space_group_name_H-M_alt 'C 1 2/m 1'
_space_group_IT_number 12
_cell_length_a 16.842
_cell_length_b 3.313
_cell_length_c 5.238
_cell_angle_alpha 90.00
_cell_angle_beta 100.40
_cell_angle_gamma 90.00
loop_
_space_group_symop_operation_xyz
'x,y,z'
'-x,-y,-z'
'-x,y,-z'
'x,-y,z'
'x+1/2,y+1/2,z'
'-x+1/2,-y+1/2,-z'
'-x+1/2,y+1/2,-z'
'x+1/2,-y+1/2,z'
loop_
_atom_site_label
_atom_site_fract_x
_atom_site_fract_y
_atom_site_fract_z
Ga1 0.127 0.000 0.312
Ga2 0.240 0.000 0.778
Bi1 0.063 0.500 0.786
```

Formation energy, meV per atom: 85

(8)
## GaBi (PBE)

Data for a relaxed GaBi crystal.

CIF file:
```
data_GaBi
_chemical_formula_sum 'Ga2 Bi2'
_space_group_name_H-M_alt 'P -1'
_space_group_IT_number 2
_cell_length_a 3.285
_cell_length_b 3.350
_cell_length_c 10.201
_cell_angle_alpha 82.77
_cell_angle_beta 81.68
_cell_angle_gamma 89.49
loop_
_space_group_symop_operation_xyz
'x,y,z'
'-x,-y,-z'
loop_
_atom_site_label
_atom_site_fract_x
_atom_site_fract_y
_atom_site_fract_z
Ga1 0.215 0.221 0.078
Bi1 0.084 0.627 0.334
```

Formation energy, meV per atom: 67